No. 1
A relaxed NaLaSc2 crystal. Source: the Alexandria database, functional PBE-GGA. Values from VASP.

Output
excess energy over the best structure of this formula in the dataset: 0.189 eV/atom
symmetry: I-42d, No. 122
energy of formation from the pure elements: 2.1 eV per formula unit

Quantum ESPRESSO input file:
```
&SYSTEM
  ibrav = 0, nat = 8, ntyp = 3
/
ATOMIC_SPECIES
Sc 44.96 Sc.upf
La 138.91 La.upf
Na 22.99 Na.upf
CELL_PARAMETERS angstrom
4.5237 0.0000 0.0000
0.0000 4.5237 0.0000
2.2619 2.2619 11.5369
ATOMIC_POSITIONS angstrom
Sc 1.1234 3.3928 2.8842
Sc 3.4004 1.1309 2.8842
Sc 3.3928 3.3853 8.6527
Sc 5.6547 5.6622 8.6527
La 4.5237 2.2619 5.7684
La 0.0000 0.0000 0.0000
Na 2.2619 2.2619 0.0000
Na 2.2619 4.5237 5.7684
```



No. 2
A relaxed KMgP4 crystal. Source: the Alexandria database, functional PBE-GGA. Values from VASP.

Output
symmetry: F-43m, No. 216
energy of formation from the pure elements: 0.9 eV per formula unit

Quantum ESPRESSO input file:
```
&SYSTEM
  ibrav = 0, nat = 6, ntyp = 3
/
ATOMIC_SPECIES
P 30.97 P.upf
K 39.10 K.upf
Mg 24.30 Mg.upf
CELL_PARAMETERS angstrom
0.0000 4.1782 4.1782
4.1782 0.0000 4.1782
4.1782 4.1782 0.0000
ATOMIC_POSITIONS angstrom
P 2.8954 5.4610 5.4610
P 2.8954 2.8954 2.8954
P 5.4610 2.8954 5.4610
P 5.4610 5.4610 2.8954
K 6.2673 6.2673 6.2673
Mg 0.0000 0.0000 0.0000
```



No. 3
A relaxed Tl3NiAg2Cl6 crystal. Source: the Alexandria database, functional PBE-GGA. Values from VASP.

Output
symmetry: P-3m1, No. 164
uncorrected formation energy: -51.6 kJ per mole of atoms

Quantum ESPRESSO input file:
```
&SYSTEM
  ibrav = 0, nat = 12, ntyp = 4
/
ATOMIC_SPECIES
Cl 35.45 Cl.upf
Ni 58.69 Ni.upf
Ag 107.87 Ag.upf
Tl 204.38 Tl.upf
CELL_PARAMETERS angstrom
7.3017 0.0000 0.0000
-3.6508 6.3235 0.0000
0.0000 0.0000 7.1353
ATOMIC_POSITIONS angstrom
Cl 1.8116 1.0459 4.8915
Cl -1.8393 5.2775 2.2438
Cl 1.8393 5.2775 2.2438
Cl 3.6508 4.2316 4.8915
Cl 5.4901 1.0459 4.8915
Cl 0.0000 2.0918 2.2438
Ni 0.0000 0.0000 3.5676
Ag 3.6509 2.1078 6.5034
Ag 0.0000 4.2156 0.6318
Tl 3.6509 2.1078 2.5463
Tl 0.0000 0.0000 0.0000
Tl 0.0000 4.2156 4.5890
```



No. 4
A relaxed CaPr2Pd3 crystal. Source: the Alexandria database, functional PBE-GGA. Values from VASP.

Output
excess energy over the best structure of this formula in the dataset: 0.000 eV/atom
symmetry: P4/mmm, No. 123
energy of formation from the pure elements: -4.3 eV per formula unit

Quantum ESPRESSO input file:
```
&SYSTEM
  ibrav = 0, nat = 6, ntyp = 3
/
ATOMIC_SPECIES
Pr 140.91 Pr.upf
Pd 106.42 Pd.upf
Ca 40.08 Ca.upf
CELL_PARAMETERS angstrom
3.5972 0.0000 0.0000
0.0000 3.5972 0.0000
0.0000 0.0000 10.9911
ATOMIC_POSITIONS angstrom
Pr 1.7986 1.7986 1.8814
Pr 1.7986 1.7986 9.1096
Pd 0.0000 0.0000 7.3731
Pd 0.0000 0.0000 3.6179
Pd 0.0000 0.0000 0.0000
Ca 1.7986 1.7986 5.4955
```



No. 5
A relaxed Sm3HoAl crystal. Source: the Alexandria database, functional PBE-GGA. Values from VASP.

Output
excess energy over the best structure of this formula in the dataset: 0.000 eV/atom
symmetry: C2/m, No. 12
energy of formation from the pure elements: -0.6 eV per formula unit

Quantum ESPRESSO input file:
```
&SYSTEM
  ibrav = 0, nat = 10, ntyp = 3
/
ATOMIC_SPECIES
Ho 164.93 Ho.upf
Sm 150.36 Sm.upf
Al 26.98 Al.upf
CELL_PARAMETERS angstrom
-0.8698 -3.1941 1.5420
3.6749 -0.3322 5.7093
-8.5066 5.7745 7.1630
ATOMIC_POSITIONS angstrom
Ho -4.4752 3.4228 8.8899
Ho -1.2263 -1.1746 5.5244
Sm -1.2977 1.8876 7.5024
Sm -7.4129 1.5407 7.6589
Sm 0.5059 -1.1316 2.2659
Sm -6.2073 3.3798 12.1484
Sm 1.7115 0.7075 6.7555
Sm -4.4037 0.3606 6.9119
Al -3.2341 0.7278 4.0079
Al -2.4674 1.5204 10.4065
```



No. 6
A relaxed TePbAu crystal. Source: the Alexandria database, functional PBE-GGA. Values from VASP.

Output
symmetry: Fmm2, No. 42
uncorrected formation energy: 3.6 kJ per mole of atoms

Quantum ESPRESSO input file:
```
&SYSTEM
  ibrav = 0, nat = 3, ntyp = 3
/
ATOMIC_SPECIES
Pb 207.20 Pb.upf
Te 127.60 Te.upf
Au 196.97 Au.upf
CELL_PARAMETERS angstrom
-2.6854 -2.7507 -5.7457
0.8563 -3.7591 -5.4169
-1.9515 -3.0209 0.8570
ATOMIC_POSITIONS angstrom
Pb -1.8728 -5.2653 -6.8750
Te -1.9075 -4.2750 -3.4633
Au -1.8295 -6.5003 -11.1298
```



| no. | E (Ha/atom) | N(E_F) (states/eV per atom) |
| --- | --- | --- |
| 1 | -0.1540 | 1.527 |
| 2 | -0.1435 | 0.659 |
| 3 | -0.1105 | 0.225 |
| 4 | -0.1926 | 0.479 |
| 5 | -0.1698 | 1.361 |
| 6 | -0.1227 | 0.425 |